# Ac2OsPbO8 PBE-GGA optimized geometry
data_Ac2OsPbO8
_chemical_formula_sum 'Ac2 Os1 Pb1 O8'
_cell_length_a 5.136
_cell_length_b 5.307
_cell_length_c 7.371
_cell_angle_alpha 90.53
_cell_angle_beta 90.64
_cell_angle_gamma 91.57
_space_group_name_H-M_alt 'P -1'
_space_group_IT_number 2
loop_
_space_group_symop_operation_xyz
'x,y,z'
'-x,-y,-z'
loop_
_atom_site_label
_atom_site_type_symbol
_atom_site_fract_x
_atom_site_fract_y
_atom_site_fract_z
Ac1 Ac 0.050 0.039 0.254
Os1 Os 0.500 0.500 0.500
Pb1 Pb 0.500 0.500 0.000
O1 O 0.184 0.199 0.971
O2 O 0.225 0.273 0.536
O3 O 0.314 0.653 0.304
O4 O 0.368 0.717 0.689
# N(E_F)   0.010 states/eV per atom
# ΔE_f (raw)   -1.937 eV/atom
# Calculated total energy   -7.17 eV per atom
# Magnetic moment   0.00 μB per cell